Record 1
The following is a DFT calculation (PBE-GGA) of LiHo2P3Pt12 after structural relaxation.

abc: 8.2804 8.2804 16.9695
angles: 90.00 90.00 120.00
Space group R-3m (No. 166, hexagonal axes)
Symmetry-distinct sites (fractional):
Li: 0.0000 0.0000 0.0000 [3 per cell]
Ho: 0.0000 0.0000 0.3890 [6 per cell]
P: 0.0000 0.5000 0.5000 [9 per cell]
Pt: 0.0011 0.5006 0.3672 [18 per cell]
Pt: 0.0310 0.5155 0.8623 [18 per cell]

Calculated values
**Crystal system**: trigonal
**Energy relative to the elements**: -0.487 eV/atom
**Calculated volume**: 335.9 Å³/f.u.
**Total moment**: 0.00 μB/f.u.

Record 2
The following is a DFT calculation (PBE-GGA) of Li2HoP2Pt2 after structural relaxation.

abc: 4.0948 4.0948 23.0626
angles: 90.00 90.00 120.00
Space group R-3m (No. 166, hexagonal axes)
Symmetry-distinct sites (fractional):
Li: 0.0000 0.0000 0.1427 [6 per cell]
Ho: 0.0000 0.0000 0.0000 [3 per cell]
P: 0.0000 0.0000 0.2537 [6 per cell]
Pt: 0.0000 0.0000 0.4223 [6 per cell]

Calculated values
**Crystal system**: trigonal
**Energy relative to the elements**: -1.020 eV/atom
**Calculated volume**: 111.6 Å³/f.u.
**Total moment**: 0.00 μB/f.u.